Compound: MgGa2N
Source: Alexandria via LeMat-Bulk
Functional: GGA-PBEsol
Structure: optimized geometry

Summary:
ΔE_f (raw): 0.867 eV/atom
space group: Fm-3m

extended XYZ file:
```
4
Lattice="-3.625 -2.443 0.867 0.428 -4.097 1.702 -1.194 -0.796 4.219" Properties=species:S:1:pos:R:3 pbc="T T T"
Mg -2.196 -3.668 3.394
Ga -1.098 -1.834 1.697
Ga -3.293 -5.501 5.092
N 0.000 0.000 0.000
```

Compound: MgGaTe2N
Source: Alexandria via LeMat-Bulk
Functional: GGA-PBEsol
Structure: optimized geometry

Summary:
ΔE_f (raw): 0.308 eV/atom
space group: P4/mmm

extended XYZ file:
```
5
Lattice="-1.143 -1.496 2.909 5.106 0.947 2.493 -1.871 5.109 1.891" Properties=species:S:1:pos:R:3 pbc="T T T"
Mg 1.046 2.280 3.647
Te -0.936 2.555 0.946
Te 2.553 0.474 1.246
Ga 0.000 0.000 0.000
N -0.571 -0.748 1.455
```

Compound: NaMgGa3
Source: Alexandria via LeMat-Bulk
Functional: GGA-PBEsol
Structure: optimized geometry

Summary:
E_form: 0.36 eV per atom
space group: Pm-3m

extended XYZ file:
```
5
Lattice="5.104 0.000 0.000 0.000 5.104 0.000 0.000 0.000 5.104" Properties=species:S:1:pos:R:3 pbc="T T T"
Na 2.552 2.552 2.552
Mg 0.000 0.000 0.000
Ga 0.000 2.552 0.000
Ga 0.000 0.000 2.552
Ga 2.552 0.000 0.000
```

Compound: MgNbGa2Rh
Source: Alexandria via LeMat-Bulk
Functional: GGA-PBEsol
Structure: optimized geometry

Summary:
E_form: 1.01 eV per atom
space group: P4/mmm

extended XYZ file:
```
5
Lattice="-0.290 -4.341 -0.005 4.546 -0.303 -0.497 0.495 -0.038 4.556" Properties=species:S:1:pos:R:3 pbc="T T T"
Nb 2.376 -2.341 2.027
Rh -0.145 -2.170 -0.003
Mg 0.000 0.000 0.000
Ga 0.248 -0.019 2.278
Ga 2.273 -0.151 -0.248
```

Compound: MgGaNi2
Source: Alexandria via LeMat-Bulk
Functional: GGA-PBEsol
Structure: optimized geometry

Summary:
E_form: -0.34 eV per atom
space group: Fm-3m

extended XYZ file:
```
4
Lattice="4.122 0.000 0.000 2.061 3.570 0.000 2.061 1.190 3.365" Properties=species:S:1:pos:R:3 pbc="T T T"
Ni 4.122 2.380 1.683
Ni 6.183 3.570 0.000
Mg 2.061 1.190 0.841
Ga 6.183 3.570 2.524
```

Compound: MgGa2Os2
Source: Alexandria via LeMat-Bulk
Functional: GGA-PBEsol
Structure: optimized geometry

Summary:
E_form: 0.29 eV per atom
space group: I4/mmm

extended XYZ file:
```
5
Lattice="-1.544 2.338 -3.012 -3.702 -0.143 1.787 3.769 3.156 3.327" Properties=species:S:1:pos:R:3 pbc="T T T"
Mg 0.000 0.000 0.000
Os 0.886 3.288 2.098
Os -2.363 2.062 0.003
Ga -1.278 2.055 2.250
Ga -0.199 3.295 -0.149
```

no.,D(E_F) (states/eV/f.u.),raw total energy (eV per atom)
1,1.83,-3.3638
2,3.48,-3.8194
3,2.71,-2.2700
4,3.98,-4.4594
5,2.70,-4.6818
6,2.91,-6.2804